1.
{"formula": "NdZnSe", "functional": "PBE", "state": "relaxed", "raw_formation_energy_mev_per_atom": -1082, "lattice_angstrom": [[2.377, 1.373, 7.955], [-2.377, 1.373, 7.955], [0.000, -2.745, 7.955]], "species": ["Nd", "Nd", "Zn", "Zn", "Se", "Se"], "frac_coords": [[0.080, 0.080, 0.080], [0.920, 0.920, 0.920], [0.330, 0.330, 0.330], [0.670, 0.670, 0.670], [0.215, 0.215, 0.215], [0.785, 0.785, 0.785]]}

---

2.
{"formula": "Li2PuNpS4", "functional": "PBE", "state": "relaxed", "raw_formation_energy_mev_per_atom": -1473, "lattice_angstrom": [[6.509, 0.000, 0.000], [0.000, 3.951, 0.000], [-2.396, 0.000, 6.416]], "species": ["Li", "Li", "Pu", "Np", "S", "S", "S", "S"], "frac_coords": [[0.000, 0.000, 0.000], [0.000, 0.500, 0.500], [0.500, 0.000, 0.500], [0.500, 0.500, 0.000], [0.249, 0.000, 0.753], [0.249, 0.500, 0.247], [0.751, 0.000, 0.247], [0.751, 0.500, 0.753]]}

---

3.
{"formula": "Ce3Zn9Os2", "functional": "PBE", "state": "relaxed", "dft_energy_ev_per_atom": -3.8874, "lattice_angstrom": [[-2.248, 4.747, 5.958], [2.248, -4.747, 5.958], [2.248, 4.747, -5.958]], "species": ["Ce", "Ce", "Ce", "Zn", "Zn", "Zn", "Zn", "Zn", "Zn", "Zn", "Zn", "Zn", "Os", "Os"], "frac_coords": [[0.000, 0.000, 0.000], [0.301, 0.301, 0.000], [0.699, 0.699, 0.000], [0.011, 0.653, 0.358], [0.156, 0.875, 0.282], [0.295, 0.653, 0.642], [0.407, 0.125, 0.282], [0.500, 0.000, 0.500], [0.593, 0.875, 0.718], [0.705, 0.347, 0.358], [0.844, 0.125, 0.718], [0.989, 0.347, 0.642], [0.343, 0.500, 0.843], [0.657, 0.500, 0.157]]}

---

4.
{"formula": "Sm4CdGa", "functional": "PBE", "state": "relaxed", "polymorph_energy_mev_per_atom": 0.0, "lattice_angstrom": [[0.000, 7.067, 7.067], [7.067, 0.000, 7.067], [7.067, 7.067, 0.000]], "species": ["Sm", "Sm", "Sm", "Sm", "Sm", "Sm", "Sm", "Sm", "Sm", "Sm", "Sm", "Sm", "Sm", "Sm", "Sm", "Sm", "Cd", "Cd", "Cd", "Cd", "Ga", "Ga", "Ga", "Ga"], "frac_coords": [[0.060, 0.060, 0.440], [0.060, 0.440, 0.060], [0.060, 0.440, 0.440], [0.171, 0.610, 0.610], [0.184, 0.184, 0.816], [0.184, 0.816, 0.184], [0.184, 0.816, 0.816], [0.440, 0.060, 0.060], [0.440, 0.060, 0.440], [0.440, 0.440, 0.060], [0.610, 0.171, 0.610], [0.610, 0.610, 0.171], [0.610, 0.610, 0.610], [0.816, 0.184, 0.184], [0.816, 0.184, 0.816], [0.816, 0.816, 0.184], [0.507, 0.831, 0.831], [0.831, 0.507, 0.831], [0.831, 0.831, 0.507], [0.831, 0.831, 0.831], [0.395, 0.395, 0.395], [0.395, 0.395, 0.815], [0.395, 0.815, 0.395], [0.815, 0.395, 0.395]]}